Computed, not measured: ZrTcP2 after structural relaxation at the PBE level of DFT.

Results
E	-8.08	eV per atom
ρ	6.7	Mg/m³
symmetry	P4mm
E above lowest polymorph	0.207	eV/atom
ΔE_f	-62	kJ per mole of atoms

abc: 3.282 3.282 5.753
angles: 90.00 90.00 90.00
Sites, in units of the cell vectors:
Zr1 0.500 0.500 0.795
Tc1 0.000 0.000 0.436
P1 0.000 0.000 0.996
P2 0.500 0.500 0.273

---

Computed, not measured: ZrTcP after structural relaxation at the PBE level of DFT.

Results
E	-8.73	eV per atom
ρ	7.4	Mg/m³
symmetry	P-6m2
E above lowest polymorph	0.438	eV/atom
ΔE_f	-60	kJ per mole of atoms

abc: 4.178 4.178 3.270
angles: 90.00 90.00 120.00
Sites, in units of the cell vectors:
Tc1 0.667 0.333 0.000
Zr1 0.333 0.667 0.500
P1 0.000 0.000 0.000

---

Computed, not measured: ZrTcP3 after structural relaxation at the PBE level of DFT.

Results
E	-5.77	eV per atom
ρ	4.0	Mg/m³
symmetry	Pm-3m
E above lowest polymorph	0.862	eV/atom
ΔE_f	121	kJ per mole of atoms

abc: 4.877 4.877 4.877
angles: 90.00 90.00 90.00
Sites, in units of the cell vectors:
P1 0.000 0.500 0.000
P2 0.500 0.000 0.000
Tc1 0.500 0.500 0.500
P3 0.000 0.000 0.500
Zr1 0.000 0.000 0.000

---

Computed, not measured: ZrTcP3 after structural relaxation at the PBE level of DFT.

Results
E	-6.63	eV per atom
ρ	4.8	Mg/m³
symmetry	Pm-3m
E above lowest polymorph	0.000	eV/atom
ΔE_f	38	kJ per mole of atoms

abc: 4.594 4.594 4.594
angles: 90.00 90.00 90.00
Sites, in units of the cell vectors:
P1 0.000 0.500 0.000
P2 0.000 0.000 0.500
P3 0.500 0.000 0.000
Zr1 0.500 0.500 0.500
Tc1 0.000 0.000 0.000

---

Computed, not measured: ZrTcP2 after structural relaxation at the PBE level of DFT.

Results
E	-8.14	eV per atom
ρ	6.4	Mg/m³
symmetry	C2/m
E above lowest polymorph	0.149	eV/atom
ΔE_f	-68	kJ per mole of atoms

abc: 3.788 3.788 5.653
angles: 70.46 70.46 59.90
Sites, in units of the cell vectors:
Zr1 0.250 0.250 0.250
P1 0.486 0.486 0.542
Tc1 0.750 0.750 0.750
P2 0.014 0.014 0.958

---

Computed, not measured: ZrTc4P4 after structural relaxation at the PBE level of DFT.

Results
E	-8.39	eV per atom
ρ	7.3	Mg/m³
symmetry	P4_2/nmc
ΔE_f	-42	kJ per mole of atoms

abc: 6.028 6.028 7.595
angles: 90.00 90.00 90.00
Sites, in units of the cell vectors:
P1 0.769 0.500 0.196
Tc1 0.223 0.500 0.890
Tc2 0.777 0.500 0.890
Tc3 0.723 0.000 0.610
P2 0.500 0.769 0.804
Zr1 0.000 0.000 0.000
Tc4 0.277 0.000 0.610
Tc5 0.000 0.277 0.390
Tc6 0.500 0.777 0.110
Tc7 0.000 0.723 0.390
P3 0.500 0.231 0.804
P4 0.000 0.269 0.696
P5 0.731 0.000 0.304
Tc8 0.500 0.223 0.110
Zr2 0.500 0.500 0.500
P6 0.000 0.731 0.696
P7 0.231 0.500 0.196
P8 0.269 0.000 0.304

---

Computed, not measured: ZrTcP2 after structural relaxation at the PBE level of DFT.

Results
E	-7.60	eV per atom
ρ	6.4	Mg/m³
symmetry	R3m
E above lowest polymorph	0.689	eV/atom
ΔE_f	-16	kJ per mole of atoms

abc: 8.005 8.005 8.005
angles: 22.32 22.32 22.32
Sites, in units of the cell vectors:
P1 0.247 0.247 0.247
Tc1 0.513 0.513 0.513
Zr1 0.747 0.747 0.747
P2 0.993 0.993 0.993

---

Computed, not measured: ZrTcP after structural relaxation at the PBE level of DFT.

Results
E	-7.81	eV per atom
ρ	6.2	Mg/m³
symmetry	F-43m
E above lowest polymorph	1.358	eV/atom
ΔE_f	29	kJ per mole of atoms

abc: 4.364 4.364 4.364
angles: 60.00 60.00 60.00
Sites, in units of the cell vectors:
Tc1 0.500 0.500 0.500
P1 0.000 0.000 0.000
Zr1 0.250 0.250 0.250